The following is a DFT calculation (GGA-PBE) of a relaxed TlHg4Os crystal.

Output
- V (Å³/cell) = 140.1
- DFT formation energy (eV/f.u.) = 5.63

a = 5.8294 Å, b = 5.8294 Å, c = 5.8294 Å
α = 60.00°, β = 60.00°, γ = 60.00°
Each line ends with the local moment (μB).
Positions (direct):
Tl  0.0000  0.0000  0.0000  0.01
Hg  0.8727  0.3758  0.3758  0.00
Hg  0.3758  0.3758  0.8727  0.00
Hg  0.3758  0.8727  0.3758  0.00
Hg  0.3758  0.3758  0.3758  0.00
Os  0.7500  0.7500  0.7500  1.57